[1]
First-principles (PBE) data for crystalline Mg3HgSb at its relaxed geometry, as listed in Alexandria.

## Properties
- Formation energy (no corrections): 70 kJ/mol of formula units
- Offset from the most stable computed form: 0.3151 eV per atom
- Symmetry: Pm-3m

Cell: 5.193 5.193 5.193 Å, 90.00 90.00 90.00°
Element x y z (fractional)
Mg  0.000  0.000  0.500
Mg  0.000  0.500  0.000
Mg  0.500  0.000  0.000
Hg  0.000  0.000  0.000
Sb  0.500  0.500  0.500

[2]
First-principles (PBE) data for crystalline Na12ZnHg7 at its relaxed geometry, as listed in Alexandria.

## Properties
- Symmetry: R-3
- DFT formation energy: -292 kJ/mol of formula units

Cell: 8.852 8.852 8.852 Å, 108.31 108.31 108.31°
Element x y z (fractional)
Na  0.036  0.708  0.150
Na  0.150  0.036  0.708
Na  0.165  0.445  0.622
Na  0.292  0.850  0.964
Na  0.378  0.835  0.555
Na  0.445  0.622  0.165
Na  0.555  0.378  0.835
Na  0.622  0.165  0.445
Na  0.708  0.150  0.036
Na  0.835  0.555  0.378
Na  0.850  0.964  0.292
Na  0.964  0.292  0.850
Zn  0.500  0.500  0.500
Hg  0.000  0.000  0.000
Hg  0.134  0.421  0.260
Hg  0.260  0.134  0.421
Hg  0.421  0.260  0.134
Hg  0.579  0.740  0.866
Hg  0.740  0.866  0.579
Hg  0.866  0.579  0.740

[3]
First-principles (PBE) data for crystalline Pr4Ho5Er3 at its relaxed geometry, as listed in Alexandria.

## Properties
- Symmetry: C2/m
- DFT formation energy: 265 kJ/mol of formula units

Cell: 8.602 8.602 9.421 Å, 115.25 115.25 40.38°
Element x y z (fractional)
Pr  0.085  0.085  0.448
Pr  0.217  0.217  0.883
Pr  0.783  0.783  0.117
Pr  0.915  0.915  0.552
Ho  0.000  0.000  0.000
Ho  0.330  0.330  0.619
Ho  0.430  0.430  0.296
Ho  0.570  0.570  0.704
Ho  0.670  0.670  0.381
Er  0.214  0.214  0.238
Er  0.500  0.500  0.000
Er  0.786  0.786  0.762